A plane-wave DFT calculation with PBE-GGA was carried out for ZrNpSc2N4 after structural relaxation.

* uncorrected formation energy: -1.648 eV/atom
* size of the total moment: 2.92 μB/f.u.

Lattice parameters (Å, degrees): 5.664 3.275 5.683 90.00 109.04 90.00
Positions (direct):
1 Zr 0.000 0.000 0.000
2 Np 0.000 0.500 0.500
3 Sc 0.500 0.000 0.500
4 Sc 0.500 0.500 0.000
5 N 0.251 0.500 0.251
6 N 0.258 0.000 0.756
7 N 0.742 0.000 0.244
8 N 0.749 0.500 0.749